Ac2UN | Alexandria | PBE | optimized geometry; calculated total energy = -6.85 eV/atom; volume = 116.0 Å³/f.u.; space group = R-3m, No. 166; spin magnetization = 3.5 μB per formula unit
1.0
1.815 1.048 10.170
-1.815 1.048 10.170
0.000 -2.095 10.170
Ac U N
2 1 1
direct
0.115 0.115 0.115
0.885 0.885 0.885
0.000 0.000 0.000
0.500 0.500 0.500